# 1
The following is a DFT calculation (PBE) of KSc2Si2 after structural relaxation.

Calculated values
Size of the total moment, μB/f.u.: 0.00
Electronic total energy, eV per atom: -5.22
E above lowest polymorph, meV per atom: 0.0
Formation energy (no corrections), eV/atom: -0.299
Crystal system: tetragonal

Cell: 8.416 8.416 2.996 Å, 90.00 90.00 90.00°
Element x y z (fractional)
K (0.000, 0.000, 0.000)
K (0.500, 0.500, 0.000)
Sc (0.132, 0.368, 0.000)
Sc (0.368, 0.868, 0.000)
Sc (0.632, 0.132, 0.000)
Sc (0.868, 0.632, 0.000)
Si (0.161, 0.661, 0.500)
Si (0.339, 0.161, 0.500)
Si (0.661, 0.839, 0.500)
Si (0.839, 0.339, 0.500)

=====

# 2
The following is a DFT calculation (PBE) of KScSi after structural relaxation.

Calculated values
Size of the total moment, μB/f.u.: 0.00
Electronic total energy, eV per atom: -4.52
E above lowest polymorph, meV per atom: 46.3
Formation energy (no corrections), eV/atom: -0.236
Crystal system: triclinic

Cell: 3.410 4.229 13.134 Å, 90.30 90.46 90.00°
Element x y z (fractional)
K (0.239, 0.252, 0.152)
K (0.761, 0.748, 0.848)
Sc (0.247, 0.749, 0.414)
Sc (0.753, 0.251, 0.586)
Si (0.254, 0.752, 0.626)
Si (0.746, 0.248, 0.374)

=====

# 3
The following is a DFT calculation (PBE) of KScSi after structural relaxation.

Calculated values
Size of the total moment, μB/f.u.: 0.00
Electronic total energy, eV per atom: -4.14
E above lowest polymorph, meV per atom: 426.6
Formation energy (no corrections), eV/atom: 0.144
Crystal system: hexagonal

Cell: 4.597 4.597 5.537 Å, 90.00 90.00 120.00°
Element x y z (fractional)
K (0.000, 0.000, 0.000)
Sc (0.333, 0.667, 0.500)
Si (0.667, 0.333, 0.500)

=====

# 4
The following is a DFT calculation (PBE) of KSc4Si after structural relaxation.

Calculated values
Size of the total moment, μB/f.u.: 0.00
Electronic total energy, eV per atom: -4.73
Formation energy (no corrections), eV/atom: 0.575
Crystal system: cubic

Cell: 6.058 6.058 6.058 Å, 60.00 60.00 60.00°
Element x y z (fractional)
K (0.000, 0.000, 0.000)
Sc (0.130, 0.623, 0.623)
Sc (0.623, 0.130, 0.623)
Sc (0.623, 0.623, 0.130)
Sc (0.623, 0.623, 0.623)
Si (0.250, 0.250, 0.250)